No. 1
Here is Rb2TbMg2Se4 after structural relaxation from Alexandria via LeMat-Bulk. Energies are from PBE.

For the total energy, the calculation gives -35.4 eV per cell. The value obtained for the theoretical density is 4.241 Mg/m³. The formation energy (no corrections) is -1295 meV/atom.

a b c (Å): 4.269 8.310 8.324
angles (deg): 107.13 104.86 90.00
Last column: magnetic moment on the atom in μB.
Fractional positions:
Rb: 0.126 0.541 0.251  0.01
Rb: 0.874 0.459 0.749  0.01
Tb: 0.000 0.000 0.000  0.30
Mg: 0.671 0.977 0.342  0.01
Mg: 0.329 0.023 0.658  0.01
Se: 0.201 0.169 0.402  0.00
Se: 0.799 0.831 0.598  0.00
Se: 0.518 0.767 0.037  0.00
Se: 0.482 0.233 0.963  0.00



No. 2
Here is RbMgTeSe3 after structural relaxation from Alexandria via LeMat-Bulk. Energies are from PBE.

For the total energy, the calculation gives -40.5 eV per cell. The value obtained for the theoretical density is 3.697 Mg/m³. The formation energy (no corrections) is -679 meV/atom.

a b c (Å): 4.514 8.098 12.049
angles (deg): 104.67 90.00 90.00
Fractional positions:
Rb: 0.250 0.072 0.168
Rb: 0.750 0.928 0.832
Mg: 0.250 0.531 0.113
Mg: 0.750 0.469 0.887
Te: 0.250 0.327 0.599
Te: 0.750 0.673 0.401
Se: 0.750 0.777 0.221
Se: 0.250 0.223 0.779
Se: 0.250 0.498 0.356
Se: 0.750 0.502 0.644
Se: 0.750 0.324 0.059
Se: 0.250 0.676 0.941



No. 3
Here is Rb4Th3MgSe8 after structural relaxation from Alexandria via LeMat-Bulk. Energies are from PBE.

For the total energy, the calculation gives -79.2 eV per cell. The value obtained for the theoretical density is 5.506 Mg/m³. The formation energy (no corrections) is -1477 meV/atom.

a b c (Å): 8.552 9.458 8.552
angles (deg): 116.90 120.00 90.00
Fractional positions:
Rb: 0.500 0.000 0.000
Rb: 0.500 0.000 0.500
Rb: 0.000 0.000 0.000
Rb: 0.000 0.000 0.500
Th: 0.500 0.500 0.000
Th: 0.500 0.500 0.500
Th: 0.000 0.500 0.500
Mg: 0.000 0.500 0.000
Se: 0.228 0.697 0.969
Se: 0.228 0.697 0.456
Se: 0.264 0.292 0.528
Se: 0.741 0.697 0.969
Se: 0.259 0.303 0.031
Se: 0.736 0.708 0.472
Se: 0.772 0.303 0.544
Se: 0.772 0.303 0.031



No. 4
Here is Rb3ThMg2Se6 after structural relaxation from Alexandria via LeMat-Bulk. Energies are from PBE.

For the total energy, the calculation gives -49.5 eV per cell. The value obtained for the theoretical density is 4.613 Mg/m³. The formation energy (no corrections) is -1260 meV/atom.

a b c (Å): 7.204 7.204 8.444
angles (deg): 98.20 98.20 119.97
Fractional positions:
Rb: 0.165 0.835 0.500
Rb: 0.835 0.165 0.500
Rb: 0.500 0.500 0.500
Th: 0.000 0.000 0.000
Mg: 0.333 0.667 0.000
Mg: 0.667 0.333 0.000
Se: 0.936 0.592 0.807
Se: 0.720 0.720 0.192
Se: 0.064 0.408 0.193
Se: 0.592 0.936 0.807
Se: 0.280 0.280 0.808
Se: 0.408 0.064 0.193